No. 1
The following is a DFT calculation (PBE) of NdDy2MgAu4 after structural relaxation.

Geometry as CIF:
```
data_NdDy2MgAu4
_cell_length_a 5.0195
_cell_length_b 5.0195
_cell_length_c 25.1710
_cell_angle_alpha 90.00
_cell_angle_beta 90.00
_cell_angle_gamma 120.00
_space_group_name_H-M_alt 'R -3 m'
_space_group_IT_number 166
_space_group_name_Hall '-R 3 2"'
loop_
_atom_site_label
_atom_site_fract_x
_atom_site_fract_y
_atom_site_fract_z
Nd1 0.0000 0.0000 0.0000
Dy1 0.0000 0.0000 0.2426
Mg1 0.0000 0.0000 0.5000
Au1 0.0000 0.0000 0.1233
Au2 0.0000 0.0000 0.3846
```

=====

No. 2
The following is a DFT calculation (PBE) of NdDyMgAu after structural relaxation.

Values from the calculation:
Offset from the most stable computed form: 71 meV/atom

Geometry as CIF:
```
data_NdDyMgAu
_cell_length_a 7.4650
_cell_length_b 7.4650
_cell_length_c 7.4650
_cell_angle_alpha 90.00
_cell_angle_beta 90.00
_cell_angle_gamma 90.00
_space_group_name_H-M_alt 'F -4 3 m'
_space_group_IT_number 216
_space_group_name_Hall 'F -4 2 3'
loop_
_atom_site_label
_atom_site_fract_x
_atom_site_fract_y
_atom_site_fract_z
Nd1 0.0000 0.0000 0.0000
Dy1 0.0000 0.0000 0.5000
Mg1 0.2500 0.2500 0.2500
Au1 0.2500 0.2500 0.7500
```

=====

No. 3
The following is a DFT calculation (PBE) of DyMgPdAu after structural relaxation.

Geometry as CIF:
```
data_DyMgPdAu
_cell_length_a 6.8448
_cell_length_b 6.8448
_cell_length_c 6.8448
_cell_angle_alpha 90.00
_cell_angle_beta 90.00
_cell_angle_gamma 90.00
_space_group_name_H-M_alt 'F -4 3 m'
_space_group_IT_number 216
_space_group_name_Hall 'F -4 2 3'
loop_
_atom_site_label
_atom_site_fract_x
_atom_site_fract_y
_atom_site_fract_z
Dy1 0.0000 0.0000 0.0000
Mg1 0.0000 0.0000 0.5000
Pd1 0.2500 0.2500 0.2500
Au1 0.2500 0.2500 0.7500
```

=====

| no. | formation enthalpy at 0 K (eV per atom) | spin magnetization (μB/atom) |
| --- | --- | --- |
| 1 | -0.78 | 0.000 |
| 2 | -0.38 | 0.000 |
| 3 | -0.78 | 0.000 |